[1]
Here is crystalline HSe3Cl at its relaxed geometry from the Alexandria database. Energies are from PBE.

Lattice parameters (Å, degrees): 5.0685 5.0685 5.0685 90.00 90.00 90.00
Last column: magnetic moment on the atom in μB.
Fractional coordinates of all 5 atoms:
1 H 0.5000 0.5000 0.5000  0.36
2 Se 0.0000 0.5000 0.0000  -0.05
3 Se 0.0000 0.0000 0.5000  -0.04
4 Se 0.5000 0.0000 0.0000  -0.01
5 Cl 0.0000 0.0000 0.0000  -0.01

DOS(E_F) (states/eV per cell): 5.01
Electronic total energy (eV/atom): -1.770
Total magnetic moment (μB per cell): 0.703

***

[2]
Here is crystalline CoIr3 at its relaxed geometry from the Alexandria database. Energies are from PBE.

Lattice parameters (Å, degrees): 8.7578 8.7578 8.7578 17.87 17.87 17.87
Last column: magnetic moment on the atom in μB.
Fractional coordinates of all 4 atoms:
1 Ir 0.2534 0.2534 0.2534  0.12
2 Ir 0.5000 0.5000 0.5000  -0.19
3 Ir 0.7466 0.7466 0.7466  0.12
4 Co 0.0000 0.0000 0.0000  1.61

DOS(E_F) (states/eV per cell): 5.56
Electronic total energy (eV/atom): -8.368
Total magnetic moment (μB per cell): 1.658
Calculated formation energy (kJ/mol of atoms): 5

***

[3]
Here is crystalline AgRuO4F at its relaxed geometry from the Alexandria database. Energies are from PBE.

Lattice parameters (Å, degrees): 6.0137 6.0137 8.1351 69.03 69.03 80.11
Fractional coordinates of all 14 atoms:
1 Ag 0.1983 0.1983 0.8294
2 Ag 0.8017 0.8017 0.1706
3 Ru 0.6365 0.6365 0.7082
4 Ru 0.3635 0.3635 0.2918
5 O 0.3429 0.3429 0.5159
6 O 0.6571 0.6571 0.4841
7 O 0.0895 0.4589 0.2615
8 O 0.5744 0.5744 0.1367
9 O 0.5411 0.9105 0.7385
10 O 0.4589 0.0895 0.2615
11 O 0.4256 0.4256 0.8633
12 O 0.9105 0.5411 0.7385
13 F 0.0528 0.0528 0.1376
14 F 0.9472 0.9472 0.8624

DOS(E_F) (states/eV per cell): 2.84
Electronic total energy (eV/atom): -5.531
Total magnetic moment (μB per cell): 0.000

***

[4]
Here is crystalline Tl2TeF at its relaxed geometry from the Alexandria database. Energies are from PBE.

Lattice parameters (Å, degrees): 5.3040 5.3040 5.3040 60.00 60.00 60.00
Fractional coordinates of all 4 atoms:
1 Tl 0.2500 0.2500 0.2500
2 Tl 0.7500 0.7500 0.7500
3 Te 0.5000 0.5000 0.5000
4 F 0.0000 0.0000 0.0000

DOS(E_F) (states/eV per cell): 2.76
Electronic total energy (eV/atom): -3.208
Total magnetic moment (μB per cell): 0.000

***

[5]
Here is crystalline SrNdZnPd at its relaxed geometry from the Alexandria database. Energies are from PBE.

Lattice parameters (Å, degrees): 5.2499 5.2499 5.2499 60.00 60.00 60.00
Fractional coordinates of all 4 atoms:
1 Sr 0.2500 0.2500 0.2500
2 Zn 0.0000 0.0000 0.0000
3 Nd 0.7500 0.7500 0.7500
4 Pd 0.5000 0.5000 0.5000

DOS(E_F) (states/eV per cell): 2.65
Electronic total energy (eV/atom): -3.635
Total magnetic moment (μB per cell): 0.000
Calculated formation energy (kJ/mol of atoms): -39

***

[6]
Here is crystalline Ce2Ho3Tl3 at its relaxed geometry from the Alexandria database. Energies are from PBE.

Lattice parameters (Å, degrees): 3.6658 5.3996 11.6765 77.93 80.95 90.00
Last column: magnetic moment on the atom in μB.
Fractional coordinates of all 8 atoms:
1 Ce 0.7569 0.8120 0.4866  0.34
2 Ce 0.2431 0.1880 0.5134  0.34
3 Ho 0.8777 0.4513 0.2450  0.01
4 Ho 0.1223 0.5487 0.7550  0.01
5 Ho 0.0000 0.0000 0.0000  -0.02
6 Tl 0.3792 0.9618 0.2423  0.00
7 Tl 0.5000 0.5000 0.0000  0.00
8 Tl 0.6208 0.0382 0.7577  0.00

DOS(E_F) (states/eV per cell): 12.37
Electronic total energy (eV/atom): -4.305
Total magnetic moment (μB per cell): 0.796
Calculated formation energy (kJ/mol of atoms): -21

***

> Look up the electronic total energy of the third one.

-5.531 eV/atom

***

> What is the formula in the third record?

AgRuO4F

***

> Number 4 is which compound?

Tl2TeF